1.
# MgRh2

A relaxed structure of MgRh2 (PBEsol, Alexandria).

Structure (POSCAR):
```
MgRh2
1.0
-1.0653 -1.0766 2.3157
2.0953 -3.9214 -2.5123
4.9876 2.3737 3.3980
Rh Mg
4 2
direct
0.3937 0.7874 0.2792 Rh
0.0520 0.1039 0.6131 Rh
0.3295 0.6590 0.6628 Rh
0.7228 0.4456 0.9454 Rh
0.6752 0.3505 0.3465 Mg
0.9935 0.9870 0.9864 Mg
```

Summary:
As for the formation energy: -0.21 eV/atom. Its space group is Cm.

2.
# Na3GaNi

A relaxed structure of Na3GaNi (PBEsol, Alexandria).

Structure (POSCAR):
```
Na3GaNi
1.0
-4.5359 2.3899 -0.6511
-2.3841 -4.5808 -0.2051
-0.6719 0.1204 5.1229
Na Ga Ni
3 1 1
direct
0.0000 0.5000 0.0000 Na
0.0000 0.0000 0.5000 Na
0.5000 0.0000 0.0000 Na
0.5000 0.5000 0.5000 Ga
0.0000 0.0000 0.0000 Ni
```

Summary:
As for the formation energy: 0.67 eV/atom. Its space group is Pm-3m.

3.
# PrGaGe2O7

A relaxed structure of PrGaGe2O7 (PBEsol, Alexandria).

Structure (POSCAR):
```
PrGaGe2O7
1.0
-4.4393 4.8416 0.8175
-4.7873 -3.7155 -3.9922
-4.7374 -5.8208 8.7473
Pr O Ge Ga
4 28 8 4
direct
0.3534 0.7393 0.5241 Pr
0.6466 0.2607 0.4759 Pr
0.8534 0.7607 0.9759 Pr
0.1466 0.2393 0.0241 Pr
0.8261 0.0710 0.0215 O
0.1868 0.4682 0.1844 O
0.6868 0.0318 0.3156 O
0.3748 0.7616 0.3052 O
0.4493 0.1654 0.1294 O
0.6631 0.9145 0.5791 O
0.0507 0.6654 0.6294 O
0.6252 0.2384 0.6948 O
0.8894 0.9391 0.7788 O
0.4990 0.6749 0.0760 O
0.5010 0.3251 0.9240 O
0.3132 0.9682 0.6844 O
0.1106 0.0609 0.2212 O
0.6106 0.4391 0.2788 O
0.3261 0.4290 0.4785 O
0.3369 0.0855 0.4209 O
0.1252 0.2616 0.8052 O
0.8369 0.4145 0.0791 O
0.6739 0.5710 0.5215 O
0.8748 0.7384 0.1948 O
0.3894 0.5609 0.7212 O
0.0010 0.1749 0.5760 O
0.1739 0.9290 0.9785 O
0.1631 0.5855 0.9209 O
0.5507 0.8346 0.8706 O
0.9493 0.3346 0.3706 O
0.9990 0.8251 0.4240 O
0.8132 0.5318 0.8156 O
0.5885 0.4218 0.7807 Ge
0.1584 0.2572 0.4551 Ge
0.6584 0.2428 0.0449 Ge
0.3416 0.7572 0.9551 Ge
0.9115 0.9218 0.2807 Ge
0.4115 0.5782 0.2193 Ge
0.0885 0.0782 0.7193 Ge
0.8416 0.7428 0.5449 Ge
0.8994 0.4823 0.2318 Ga
0.1006 0.5177 0.7682 Ga
0.6006 0.9823 0.7318 Ga
0.3994 0.0177 0.2682 Ga
```

Summary:
The formation energy (no corrections) comes out at -2.18 eV per atom. Its space group is P2_1/c.

| no. | total magnetization (μB per cell) |
| --- | --- |
| 1 | 0.0 |
| 2 | 0.0 |
| 3 | 0.0 |